(1)
{"formula": "BaBe2SbAu", "functional": "PBE", "state": "optimized geometry", "final_energy_ev_per_atom": -2.92, "lattice": [[4.825, 0.000, 0.000], [0.000, 4.825, 0.000], [0.000, 0.000, 5.636]], "species": ["Ba", "Be", "Be", "Sb", "Au"], "frac_coords": [[0.000, 0.000, 0.000], [0.000, 0.500, 0.500], [0.500, 0.000, 0.500], [0.500, 0.500, 0.500], [0.500, 0.500, 0.000]]}

(2)
{"formula": "BaBeAu2Se", "functional": "PBE", "state": "optimized geometry", "final_energy_ev_per_atom": -3.73, "lattice": [[4.697, 0.000, 0.000], [0.000, 4.697, 0.000], [0.000, 0.000, 5.288]], "species": ["Ba", "Be", "Au", "Au", "Se"], "frac_coords": [[0.000, 0.000, 0.000], [0.500, 0.500, 0.500], [0.000, 0.500, 0.500], [0.500, 0.000, 0.500], [0.500, 0.500, 0.000]]}

(3)
{"formula": "BaSrBe2Au", "functional": "PBE", "state": "optimized geometry", "formation_energy_ev_per_atom": 0.992, "lattice": [[5.488, 0.000, 0.000], [0.000, 5.488, 0.000], [0.000, 0.000, 5.899]], "species": ["Ba", "Sr", "Be", "Be", "Au"], "frac_coords": [[0.000, 0.000, 0.000], [0.500, 0.500, 0.500], [0.000, 0.500, 0.000], [0.500, 0.000, 0.000], [0.000, 0.000, 0.500]]}

(4)
{"formula": "Ba2BeTlAu", "functional": "PBE", "state": "optimized geometry", "formation_energy_ev_per_atom": 0.507, "lattice": [[6.626, 0.000, 0.000], [0.000, 6.626, 0.000], [0.000, 0.000, 5.189]], "species": ["Ba", "Ba", "Be", "Tl", "Au"], "frac_coords": [[0.000, 0.500, 0.000], [0.500, 0.000, 0.000], [0.000, 0.000, 0.500], [0.500, 0.500, 0.000], [0.500, 0.500, 0.500]]}